Record 1
BaIn2AgAu4: optimized geometry, PBE.

Cell lengths 10.278, 10.278, 10.278 Å; angles 26.56, 26.56, 26.56 degrees
Fractional coordinates of all 8 atoms:
Ba 0.000 0.000 0.000
In 0.236 0.236 0.236
In 0.764 0.764 0.764
Ag 0.500 0.500 0.500
Au 0.134 0.134 0.134
Au 0.402 0.402 0.402
Au 0.598 0.598 0.598
Au 0.866 0.866 0.866

## Properties
ΔH_f (0 K)	-2.695	eV per formula unit



Record 2
SrAc5La: optimized geometry, PBE.

Cell lengths 7.290, 7.290, 12.976 Å; angles 103.95, 103.95, 96.00 degrees
Fractional coordinates of all 14 atoms:
Sr 0.000 0.500 0.000
Sr 0.500 0.000 0.500
Ac 0.074 0.279 0.538
Ac 0.086 0.914 0.250
Ac 0.279 0.074 0.038
Ac 0.313 0.446 0.336
Ac 0.446 0.313 0.836
Ac 0.554 0.687 0.164
Ac 0.687 0.554 0.664
Ac 0.721 0.926 0.962
Ac 0.914 0.086 0.750
Ac 0.926 0.721 0.462
La 0.251 0.749 0.750
La 0.749 0.251 0.250

## Properties
ΔH_f (0 K)	0.770	eV per formula unit



Record 3
NaPr4Tl3: optimized geometry, PBE.

Cell lengths 5.483, 5.483, 16.375 Å; angles 90.00, 90.00, 90.00 degrees
Fractional coordinates of all 16 atoms:
Na 0.000 0.000 0.000
Na 0.500 0.500 0.500
Pr 0.000 0.500 0.128
Pr 0.000 0.500 0.372
Pr 0.000 0.500 0.628
Pr 0.000 0.500 0.872
Pr 0.500 0.000 0.128
Pr 0.500 0.000 0.372
Pr 0.500 0.000 0.628
Pr 0.500 0.000 0.872
Tl 0.000 0.000 0.247
Tl 0.000 0.000 0.500
Tl 0.000 0.000 0.753
Tl 0.500 0.500 0.000
Tl 0.500 0.500 0.253
Tl 0.500 0.500 0.747

## Properties
ΔH_f (0 K)	-2.069	eV per formula unit



Record 4
Rb4U3TiS8: optimized geometry, PBE.

Cell lengths 9.007, 9.007, 9.007 Å; angles 52.46, 52.46, 52.46 degrees
Fractional coordinates of all 16 atoms:
Rb 0.000 0.000 0.000
Rb 0.000 0.500 0.500
Rb 0.500 0.000 0.500
Rb 0.500 0.500 0.000
U 0.000 0.000 0.500
U 0.000 0.500 0.000
U 0.500 0.000 0.000
Ti 0.500 0.500 0.500
S 0.232 0.232 0.232
S 0.243 0.723 0.723
S 0.277 0.277 0.757
S 0.277 0.757 0.277
S 0.723 0.243 0.723
S 0.723 0.723 0.243
S 0.757 0.277 0.277
S 0.768 0.768 0.768

## Properties
energy relative to the elements, uncorrected	-1.333	eV per atom



Record 5
Zr2CO: optimized geometry, PBE.

Cell lengths 5.022, 5.022, 10.144 Å; angles 90.00, 90.00, 90.00 degrees
Fractional coordinates of all 16 atoms:
Zr 0.249 0.250 0.125
Zr 0.250 0.749 0.375
Zr 0.250 0.751 0.875
Zr 0.251 0.250 0.625
Zr 0.749 0.750 0.625
Zr 0.750 0.249 0.875
Zr 0.750 0.251 0.375
Zr 0.751 0.750 0.125
C 0.000 0.000 0.000
C 0.000 0.500 0.250
C 0.500 0.000 0.750
C 0.500 0.500 0.500
O 0.000 0.000 0.500
O 0.000 0.500 0.750
O 0.500 0.000 0.250
O 0.500 0.500 0.000

## Properties
energy relative to the elements, uncorrected	-1.350	eV per atom
E above lowest polymorph	376	meV/atom



Record 6
FeNi6Pd2: optimized geometry, PBE.

Cell lengths 5.760, 5.760, 5.793 Å; angles 107.42, 107.42, 36.68 degrees
Fractional coordinates of all 9 atoms:
Fe 0.000 0.000 0.000
Ni 0.119 0.119 0.682
Ni 0.225 0.225 0.325
Ni 0.331 0.331 0.001
Ni 0.669 0.669 0.999
Ni 0.775 0.775 0.675
Ni 0.881 0.881 0.318
Pd 0.442 0.442 0.670
Pd 0.558 0.558 0.330

## Properties
ΔH_f (0 K)	-0.103	eV per formula unit
E above lowest polymorph	0	meV/atom



Record 7
ScMnRu2: optimized geometry, PBE.

Cell lengths 6.235, 6.235, 6.235 Å; angles 90.00, 90.00, 90.00 degrees
Fractional coordinates of all 16 atoms:
Sc 0.000 0.000 0.000
Sc 0.000 0.500 0.500
Sc 0.500 0.000 0.500
Sc 0.500 0.500 0.000
Mn 0.250 0.250 0.250
Mn 0.250 0.750 0.750
Mn 0.750 0.250 0.750
Mn 0.750 0.750 0.250
Ru 0.000 0.000 0.500
Ru 0.000 0.500 0.000
Ru 0.250 0.250 0.750
Ru 0.250 0.750 0.250
Ru 0.500 0.000 0.000
Ru 0.500 0.500 0.500
Ru 0.750 0.250 0.250
Ru 0.750 0.750 0.750

## Properties
ΔH_f (0 K)	0.091	eV per formula unit



Record 8
TaTlS2: optimized geometry, PBE.

Cell lengths 6.054, 3.396, 8.559 Å; angles 90.00, 93.87, 90.00 degrees
Fractional coordinates of all 8 atoms:
Ta 0.000 0.000 0.000
Ta 0.408 0.500 0.009
Tl 0.464 0.500 0.557
Tl 0.945 0.000 0.452
S 0.099 0.500 0.804
S 0.309 0.000 0.205
S 0.609 0.000 0.851
S 0.799 0.500 0.158

## Properties
energy relative to the elements, uncorrected	-0.794	eV per atom



Record 9
BaSi2Au8: optimized geometry, PBE.

Cell lengths 5.679, 5.679, 8.759 Å; angles 90.00, 90.00, 90.00 degrees
Fractional coordinates of all 11 atoms:
Ba 0.000 0.000 0.000
Si 0.000 0.500 0.500
Si 0.500 0.000 0.500
Au 0.252 0.252 0.317
Au 0.252 0.252 0.683
Au 0.252 0.748 0.317
Au 0.252 0.748 0.683
Au 0.748 0.252 0.317
Au 0.748 0.252 0.683
Au 0.748 0.748 0.317
Au 0.748 0.748 0.683

## Properties
energy relative to the elements, uncorrected	-0.059	eV per atom



Record 10
SiSbP: optimized geometry, PBE.

Cell lengths 6.556, 6.556, 6.556 Å; angles 90.00, 90.00, 90.00 degrees
Fractional coordinates of all 12 atoms:
Si 0.000 0.000 0.000
Si 0.000 0.500 0.500
Si 0.500 0.000 0.500
Si 0.500 0.500 0.000
Sb 0.250 0.250 0.750
Sb 0.250 0.750 0.250
Sb 0.750 0.250 0.250
Sb 0.750 0.750 0.750
P 0.000 0.000 0.500
P 0.000 0.500 0.000
P 0.500 0.000 0.000
P 0.500 0.500 0.500

## Properties
energy relative to the elements, uncorrected	0.798	eV per atom
E above lowest polymorph	721	meV/atom



In eV per atom, the DFT total energy values for the records above are, in order, -3.26; -3.77; -3.70; -6.25; -9.17; -5.96; -8.49; -6.41; -3.60; -4.19.